Below is a geometry-optimized TiZnNiCl structure, with properties calculated at the PBE level.

Computed properties:
Space group   Cm, No. 8
D(E_F)   0.626 states/eV/atom
Formation energy from raw total energies   -0.219 eV per atom

a = 5.0378 Å, b = 2.8941 Å, c = 8.9270 Å
α = 90.00°, β = 108.47°, γ = 90.00°
Last column: nearest neighbours and their distance in Å.
Sites, in units of the cell vectors:
Ni1 0.2659 0.0000 0.0925  1 Cl 2.29, 3 Zn 2.39-2.53
Zn1 0.2417 0.5000 0.8559  3 Ni 2.39-2.53
Cl1 0.7976 0.0000 0.9528  1 Ni 2.29, 3 Ti 2.45-2.54
Zn2 0.2417 0.0000 0.3559  3 Ni 2.39-2.53
Ti1 0.7190 0.0000 0.6568  3 Cl 2.45-2.54, 2 Ni 2.61
Ni2 0.2659 0.5000 0.5925  1 Cl 2.29, 3 Zn 2.39-2.53
Cl2 0.7976 0.5000 0.4528  1 Ni 2.29, 3 Ti 2.45-2.54
Ti2 0.7190 0.5000 0.1568  3 Cl 2.45-2.54, 2 Ni 2.61

Below is a geometry-optimized Cd3ReTe structure, with properties calculated at the PBE level.

Computed properties:
Space group   Pm-3m, No. 221
D(E_F)   0.690 states/eV/atom
Formation energy from raw total energies   1.020 eV per atom

a = 5.3360 Å, b = 5.3360 Å, c = 5.3360 Å
α = 90.00°, β = 90.00°, γ = 90.00°
Last column: nearest neighbours and their distance in Å.
Sites, in units of the cell vectors:
Re1 0.0000 0.0000 0.0000  6 Cd 2.67
Cd1 0.0000 0.0000 0.5000  2 Re 2.67
Te1 0.5000 0.5000 0.5000  12 Cd 3.77
Cd2 0.5000 0.0000 0.0000  2 Re 2.67
Cd3 0.0000 0.5000 0.0000  2 Re 2.67

Below is a geometry-optimized Al2C2O structure, with properties calculated at the PBE level.

Computed properties:
Space group   P4/mbm, No. 127
D(E_F)   0.186 states/eV/atom
Formation energy from raw total energies   -0.234 eV per atom

a = 5.5394 Å, b = 5.5394 Å, c = 3.1684 Å
α = 90.00°, β = 90.00°, γ = 90.00°
Last column: nearest neighbours and their distance in Å.
Sites, in units of the cell vectors:
Al1 0.2417 0.2583 0.0000  2 O 1.96, 2 C 2.06
C1 0.4101 0.0899 0.5000  1 C 1.41
Al2 0.7417 0.2417 0.0000  2 O 1.96, 2 C 2.06
Al3 0.2583 0.7583 0.0000  2 O 1.96, 2 C 2.06
C2 0.5899 0.9101 0.5000  1 C 1.41
C3 0.0899 0.5899 0.5000  1 C 1.41
O1 0.5000 0.5000 0.0000  4 Al 1.96
Al4 0.7583 0.7417 0.0000  2 O 1.96, 2 C 2.06
C4 0.9101 0.4101 0.5000  1 C 1.41
O2 0.0000 0.0000 0.0000  4 Al 1.96

Ordered energy relative to the lowest polymorph listed for this composition results: 0.286; 0.000; 0.000; unit eV per atom.
Ordered final energy results: -4.42; -2.65; -6.41; unit eV/atom.